Record 1
Entry from Alexandria via LeMat-Bulk: a relaxed structure of SrTc2Hg (PBE).

Summary:
- Spin magnetization: 0.55 μB per formula unit
- Volume: 92 Å³ per cell
- Formation energy from the elements: 0.7758 eV per atom
- Space group: P4/mmm, No. 123

Lattice parameters (Å, degrees): 3.6655 3.6655 6.8407 90.00 90.00 90.00
Last column: nearest neighbours and their distance in Å.
Fractional coordinates of all 4 atoms:
Sr (0.0000, 0.0000, 0.0000)  2 Hg 3.42, 8 Tc 3.45, 4 Sr 3.67
Tc (0.5000, 0.5000, 0.3338)  1 Tc 2.27
Tc (0.5000, 0.5000, 0.6662)  1 Tc 2.27
Hg (0.0000, 0.0000, 0.5000)  8 Tc 2.83

=====

Record 2
Entry from Alexandria via LeMat-Bulk: a relaxed structure of SrTc2Hg (PBE).

Summary:
- Spin magnetization: 0.00 μB per formula unit
- Volume: 101 Å³ per cell
- Formation energy from the elements: 0.4751 eV per atom
- Space group: C2/m, No. 12

Lattice parameters (Å, degrees): 5.3094 5.3094 5.6104 107.75 107.75 42.34
Last column: nearest neighbours and their distance in Å.
Fractional coordinates of all 4 atoms:
Sr (0.0000, 0.0000, 0.0000)  4 Hg 3.40, 8 Tc 3.42-3.69
Tc (0.2341, 0.2341, 0.6069)  2 Tc 2.34
Tc (0.7659, 0.7659, 0.3931)  2 Tc 2.34
Hg (0.5000, 0.5000, 0.5000)  6 Tc 2.89-2.92

=====

Record 3
Entry from Alexandria via LeMat-Bulk: a relaxed structure of SrTc2Hg (PBE).

Summary:
- Spin magnetization: 0.00 μB per formula unit
- Volume: 89 Å³ per cell
- Formation energy from the elements: 0.7105 eV per atom
- Space group: P2/m, No. 10

Lattice parameters (Å, degrees): 3.2823 5.1563 5.2471 90.00 90.34 90.00
Last column: nearest neighbours and their distance in Å.
Fractional coordinates of all 4 atoms:
Sr (0.0000, 0.0000, 0.0000)  4 Hg 3.09-3.10, 8 Tc 3.25, 2 Sr 3.28
Tc (0.4954, 0.5000, 0.7895)  1 Tc 2.21
Tc (0.5046, 0.5000, 0.2105)  1 Tc 2.21
Hg (0.5000, 0.0000, 0.5000)  4 Tc 2.99, 4 Sr 3.09-3.10, 2 Hg 3.28

=====

Record 4
Entry from Alexandria via LeMat-Bulk: a relaxed structure of SrTc2Hg (PBE).

Summary:
- Spin magnetization: 0.37 μB per formula unit
- Volume: 81 Å³ per cell
- Formation energy from the elements: 0.8942 eV per atom
- Space group: Immm, No. 71

Lattice parameters (Å, degrees): 6.0260 6.0260 6.0260 150.23 131.09 58.31
Last column: nearest neighbours and their distance in Å.
Fractional coordinates of all 4 atoms:
Sr (0.0000, 0.0000, 0.0000)  4 Hg 2.94, 2 Sr 3.10, 4 Tc 3.24
Tc (0.2705, 0.7705, 0.5000)  2 Hg 2.87, 6 Tc 2.97-3.10
Tc (0.7295, 0.2295, 0.5000)  2 Hg 2.87, 6 Tc 2.97-3.10
Hg (0.5000, 0.5000, 0.0000)  4 Tc 2.87, 4 Sr 2.94, 2 Hg 3.10